# 1
A relaxed LiAg2Ir crystal, computed with PBE.

Lattice parameters (Å, degrees): 2.7948 4.7073 4.8319 90.00 90.00 90.00
Last column: nearest neighbours and their distance in Å.
Element x y z (fractional)
Li  0.0000  0.0000  0.0000  8 Ag 2.69-2.89, 2 Li 2.79, 2 Ir 2.94
Ag  0.5000  0.0000  0.4761  4 Li 2.69-2.89, 4 Ir 2.79, 4 Ag 2.79-3.01
Ag  0.5000  0.5000  0.8655  4 Ir 2.79, 4 Ag 2.79-3.01, 4 Li 2.81
Ir  0.0000  0.5000  0.3650  8 Ag 2.79, 2 Ir 2.79, 2 Li 2.94

Calculated values
Energy in eV/atom: -4.03


# 2
A relaxed LiAgIr crystal, computed with PBE.

Lattice parameters (Å, degrees): 7.4015 7.1720 2.7046 84.13 74.56 21.32
Last column: nearest neighbours and their distance in Å.
Element x y z (fractional)
Li  0.0000  0.0000  0.0000  2 Ir 2.57, 6 Li 2.70-2.82, 2 Ag 2.74
Ag  0.3326  0.3326  0.6674  6 Ag 2.70-2.82, 2 Li 2.74, 2 Ir 2.90
Ir  0.6524  0.6524  0.3476  2 Li 2.57, 6 Ir 2.70-2.82

Calculated values
Energy in eV/atom: -4.48
Energy above the most stable polymorph in this dataset in eV/f.u.: 0.14


# 3
A relaxed LiAgIr2 crystal, computed with PBE.

Lattice parameters (Å, degrees): 9.5056 9.5056 9.5056 16.38 16.38 16.38
Last column: nearest neighbours and their distance in Å.
Element x y z (fractional)
Li  0.0000  0.0000  0.0000  6 Ir 2.70, 6 Li 2.71
Ag  0.5000  0.5000  0.5000  6 Ag 2.71, 6 Ir 2.93
Ir  0.2549  0.2549  0.2549  3 Li 2.70, 6 Ir 2.71, 3 Ag 2.93
Ir  0.7451  0.7451  0.7451  3 Li 2.70, 6 Ir 2.71, 3 Ag 2.93

Calculated values
Energy in eV/atom: -5.54


# 4
A relaxed LiAgIr2 crystal, computed with PBE.

Lattice parameters (Å, degrees): 2.6333 2.6333 8.7288 90.00 90.00 90.00
Last column: nearest neighbours and their distance in Å.
Element x y z (fractional)
Li  0.0000  0.0000  0.0000  4 Li 2.63, 8 Ir 2.78
Ag  0.0000  0.0000  0.5000  4 Ag 2.63
Ir  0.5000  0.5000  0.2372  4 Ir 2.63, 4 Li 2.78
Ir  0.5000  0.5000  0.7628  4 Ir 2.63, 4 Li 2.78

Calculated values
Energy in eV/atom: -5.29


# 5
A relaxed LiAg2Ir crystal, computed with PBE.

Lattice parameters (Å, degrees): 9.8603 9.8603 9.8603 157.71 157.71 31.72
Last column: nearest neighbours and their distance in Å.
Element x y z (fractional)
Li  0.0000  0.0000  0.0000  4 Ir 2.69, 4 Ag 2.73
Li  0.7500  0.2500  0.5000  4 Ir 2.69, 4 Ag 2.73
Ag  0.1239  0.6250  0.9989  4 Ag 2.69-2.70, 2 Li 2.73, 2 Ir 2.73
Ag  0.3750  0.3739  0.4989  4 Ag 2.69-2.70, 2 Li 2.73, 2 Ir 2.73
Ag  0.6261  0.1250  0.0011  4 Ag 2.69-2.70, 2 Li 2.73, 2 Ir 2.73
Ag  0.8750  0.8761  0.5011  4 Ag 2.69-2.70, 2 Li 2.73, 2 Ir 2.73
Ir  0.2500  0.7500  0.5000  4 Li 2.69, 4 Ag 2.73
Ir  0.5000  0.5000  0.0000  4 Li 2.69, 4 Ag 2.73

Calculated values
Energy in eV/atom: -3.60


# 6
A relaxed LiAg2Ir crystal, computed with PBE.

Lattice parameters (Å, degrees): 9.6459 9.6459 9.6459 16.54 16.54 16.54
Last column: nearest neighbours and their distance in Å.
Element x y z (fractional)
Li  0.0000  0.0000  0.0000  3 Ir 2.64, 6 Li 2.77, 3 Ag 2.89
Ag  0.5072  0.5072  0.5072  9 Ag 2.77-3.02, 3 Ir 2.93
Ag  0.7508  0.7508  0.7508  9 Ag 2.77-3.02, 3 Li 2.89
Ir  0.2599  0.2599  0.2599  3 Li 2.64, 6 Ir 2.77, 3 Ag 2.93

Calculated values
Energy in eV/atom: -4.06


# 7
A relaxed LiAg2Ir crystal, computed with PBE.

Lattice parameters (Å, degrees): 2.6710 4.3025 5.5684 90.00 90.00 90.00
Last column: nearest neighbours and their distance in Å.
Element x y z (fractional)
Li  0.0000  0.0000  0.0000  2 Li 2.67, 2 Ir 2.78, 8 Ag 2.89
Ag  0.5000  0.5000  0.2503  4 Ag 2.67-2.79, 4 Ir 2.89, 4 Li 2.89
Ag  0.5000  0.5000  0.7497  4 Ag 2.67-2.79, 4 Ir 2.89, 4 Li 2.89
Ir  0.0000  0.0000  0.5000  2 Ir 2.67, 2 Li 2.78, 8 Ag 2.89

Calculated values
Energy in eV/atom: -3.98


# 8
A relaxed LiAgIr2 crystal, computed with PBE.

Lattice parameters (Å, degrees): 2.8862 2.8862 6.7478 90.00 90.00 90.00
Last column: nearest neighbours and their distance in Å.
Element x y z (fractional)
Li  0.0000  0.0000  0.0000  8 Ir 2.45
Ag  0.0000  0.0000  0.5000  8 Ir 2.87, 4 Ag 2.89
Ir  0.5000  0.5000  0.2011  4 Li 2.45, 1 Ir 2.71
Ir  0.5000  0.5000  0.7989  4 Li 2.45, 1 Ir 2.71

Calculated values
Energy in eV/atom: -5.22


no.,DOS at the Fermi energy (states/eV per atom)
1,0.543
2,0.987
3,0.748
4,1.542
5,0.802
6,0.860
7,0.538
8,1.133